Computed, not measured: an optimized crystal structure of CaCo3Rh4O12 at the PBE with a Hubbard U level of DFT.

Values from the calculation:
* symmetry: Im-3

```
CaCo3Rh4O12
1.0
-3.753 3.753 3.753
3.753 -3.753 3.753
3.753 3.753 -3.753
Ca Co Rh O
1 3 4 12
Direct
0.000 0.000 0.000
0.000 0.500 0.500
0.500 0.000 0.500
0.500 0.500 0.000
0.000 0.000 0.500
0.000 0.500 0.000
0.500 0.000 0.000
0.500 0.500 0.500
0.145 0.315 0.831
0.169 0.484 0.315
0.169 0.855 0.685
0.315 0.169 0.484
0.315 0.831 0.145
0.484 0.315 0.169
0.516 0.685 0.831
0.685 0.169 0.855
0.685 0.831 0.516
0.831 0.145 0.315
0.831 0.516 0.685
0.855 0.685 0.169
```

***

Computed, not measured: an optimized crystal structure of Ca3CoRhO6 at the PBE with a Hubbard U level of DFT.

Values from the calculation:
* symmetry: C2/c

```
Ca3CoRhO6
1.0
4.480 -4.622 0.000
4.480 4.622 0.000
-0.301 0.000 6.512
Ca Co Rh O
6 2 2 12
Direct
0.118 0.882 0.750
0.254 0.386 0.611
0.386 0.254 0.111
0.614 0.746 0.889
0.746 0.614 0.389
0.882 0.118 0.250
0.239 0.761 0.250
0.761 0.239 0.750
0.000 0.500 0.000
0.500 0.000 0.500
0.043 0.199 0.912
0.094 0.467 0.298
0.199 0.043 0.412
0.295 0.586 0.948
0.414 0.705 0.552
0.467 0.094 0.798
0.533 0.906 0.202
0.586 0.295 0.448
0.705 0.414 0.052
0.801 0.957 0.588
0.906 0.533 0.702
0.957 0.801 0.088
```

***

Computed, not measured: an optimized crystal structure of CaCo3Ru4O12 at the PBE with a Hubbard U level of DFT.

Values from the calculation:
* symmetry: Im-3

```
CaCo3Ru4O12
1.0
-3.770 3.770 3.770
3.770 -3.770 3.770
3.770 3.770 -3.770
Ca Co Ru O
1 3 4 12
Direct
0.000 0.000 0.000
0.000 0.500 0.500
0.500 0.000 0.500
0.500 0.500 0.000
0.000 0.000 0.500
0.000 0.500 0.000
0.500 0.000 0.000
0.500 0.500 0.500
0.133 0.309 0.824
0.176 0.485 0.309
0.176 0.867 0.691
0.309 0.176 0.485
0.309 0.824 0.133
0.485 0.309 0.176
0.515 0.691 0.824
0.691 0.176 0.867
0.691 0.824 0.515
0.824 0.133 0.309
0.824 0.515 0.691
0.867 0.691 0.176
```

***

Computed, not measured: an optimized crystal structure of Ca2CoRuO6 at the PBE with a Hubbard U level of DFT.

Values from the calculation:
* symmetry: P4mm

```
Ca2CoRuO6
1.0
5.583 0.000 0.000
0.000 5.583 0.000
0.000 0.000 3.847
Ca Co Ru O
2 1 1 6
Direct
0.000 0.500 0.000
0.500 0.000 0.000
0.000 0.000 0.546
0.500 0.500 0.576
0.000 0.000 0.071
0.253 0.253 0.592
0.253 0.747 0.592
0.500 0.500 0.080
0.747 0.253 0.592
0.747 0.747 0.592
```

***

Computed, not measured: an optimized crystal structure of CaCoS2O8 at the PBE with a Hubbard U level of DFT.

Values from the calculation:
* symmetry: C2/m

```
CaCoS2O8
1.0
4.081 -2.642 0.000
4.081 2.642 0.000
-0.300 0.000 7.156
Ca Co S O
1 1 2 8
Direct
0.000 0.000 0.000
0.000 0.000 0.500
0.357 0.357 0.730
0.643 0.643 0.270
0.232 0.697 0.725
0.244 0.244 0.566
0.276 0.276 0.911
0.303 0.768 0.275
0.697 0.232 0.725
0.724 0.724 0.089
0.756 0.756 0.434
0.768 0.303 0.275
```

***

Computed, not measured: an optimized crystal structure of Sr4CaCo2S2O6 at the PBE with a Hubbard U level of DFT.

Values from the calculation:
* symmetry: P-4m2

```
Sr4CaCo2S2O6
1.0
3.902 0.000 0.000
0.000 3.902 0.000
0.000 0.000 16.884
Sr Ca Co S O
4 1 2 2 6
Direct
0.000 0.500 0.082
0.000 0.500 0.296
0.500 0.000 0.704
0.500 0.000 0.918
0.000 0.000 0.500
0.000 0.500 0.821
0.500 0.000 0.179
0.000 0.500 0.612
0.500 0.000 0.388
0.000 0.000 0.198
0.000 0.000 0.802
0.000 0.500 0.935
0.500 0.000 0.065
0.500 0.500 0.198
0.500 0.500 0.802
```

***

Computed, not measured: an optimized crystal structure of CaCo5SbO8 at the PBE with a Hubbard U level of DFT.

Values from the calculation:
* symmetry: Cm

```
CaCo5SbO8
1.0
5.407 -3.188 0.000
5.407 3.188 0.000
-3.402 0.000 5.059
Ca Co Sb O
1 5 1 8
Direct
0.000 0.000 0.000
0.000 0.499 0.501
0.499 0.000 0.501
0.500 0.500 0.500
0.501 0.999 0.001
0.999 0.501 0.001
0.500 0.500 0.001
0.260 0.260 0.269
0.274 0.274 0.774
0.280 0.717 0.762
0.283 0.720 0.239
0.717 0.280 0.762
0.720 0.283 0.239
0.726 0.726 0.227
0.739 0.739 0.732
```

***

Computed, not measured: an optimized crystal structure of Ca2CoSbO6 at the PBE with a Hubbard U level of DFT.

Values from the calculation:
* symmetry: P2_1/c
* ΔE to the lowest computed polymorph: 0.000 eV per atom

```
Ca2CoSbO6
1.0
5.427 0.000 0.000
0.000 5.600 0.000
-5.334 0.000 7.858
Ca Co Sb O
4 2 2 12
Direct
0.235 0.052 0.249
0.235 0.448 0.749
0.765 0.552 0.251
0.765 0.948 0.751
0.000 0.000 0.500
0.000 0.500 0.000
0.500 0.000 0.000
0.500 0.500 0.500
0.156 0.202 0.950
0.156 0.298 0.450
0.244 0.703 0.952
0.244 0.797 0.452
0.348 0.030 0.754
0.348 0.470 0.254
0.652 0.530 0.746
0.652 0.970 0.246
0.756 0.203 0.548
0.756 0.297 0.048
0.844 0.702 0.550
0.844 0.798 0.050
```

***

Computed, not measured: an optimized crystal structure of Ca2CoSbO6 at the PBE with a Hubbard U level of DFT.

Values from the calculation:
* symmetry: P2_1/m
* ΔE to the lowest computed polymorph: 0.014 eV per atom

```
Ca2CoSbO6
1.0
5.504 0.000 0.000
0.000 7.687 0.000
-0.013 0.000 5.682
Ca Co Sb O
4 2 2 12
Direct
0.008 0.250 0.045
0.482 0.250 0.567
0.518 0.750 0.433
0.992 0.750 0.955
0.500 0.000 0.000
0.500 0.500 0.000
0.000 0.000 0.500
0.000 0.500 0.500
0.108 0.750 0.536
0.191 0.051 0.792
0.191 0.449 0.792
0.293 0.048 0.305
0.293 0.452 0.305
0.422 0.750 0.023
0.578 0.250 0.977
0.707 0.548 0.695
0.707 0.952 0.695
0.809 0.551 0.208
0.809 0.949 0.208
0.892 0.250 0.464
```

***

Computed, not measured: an optimized crystal structure of Ca2ScCoO5 at the PBE with a Hubbard U level of DFT.

Values from the calculation:
* symmetry: Cmc2_1

```
Ca2ScCoO5
1.0
1.625 -6.374 0.000
1.625 6.374 0.000
0.000 0.000 10.588
Ca Sc Co O
4 2 2 10
Direct
0.094 0.906 0.500
0.148 0.852 0.124
0.852 0.148 0.624
0.906 0.094 0.000
0.213 0.787 0.844
0.787 0.213 0.344
0.474 0.526 0.270
0.526 0.474 0.770
0.051 0.949 0.868
0.274 0.726 0.480
0.323 0.677 0.219
0.376 0.624 0.812
0.490 0.510 0.602
0.510 0.490 0.102
0.624 0.376 0.312
0.677 0.323 0.719
0.726 0.274 0.980
0.949 0.051 0.368
```

***

Computed, not measured: an optimized crystal structure of Ca5Sc2Co2O12 at the PBE with a Hubbard U level of DFT.

Values from the calculation:
* symmetry: C2
* ΔE to the lowest computed polymorph: 0.000 eV per atom

```
Ca5Sc2Co2O12
1.0
4.510 -4.589 0.000
4.510 4.589 0.000
-0.587 0.000 6.358
Ca Sc Co O
5 2 2 12
Direct
0.000 0.000 0.000
0.127 0.493 0.861
0.274 0.361 0.373
0.507 0.873 0.139
0.639 0.726 0.627
0.127 0.873 0.500
0.637 0.363 0.000
0.387 0.112 0.755
0.888 0.613 0.245
0.107 0.159 0.677
0.169 0.702 0.203
0.298 0.831 0.797
0.348 0.203 0.045
0.413 0.015 0.468
0.455 0.402 0.720
0.598 0.545 0.280
0.663 0.058 0.856
0.797 0.652 0.955
0.841 0.893 0.323
0.942 0.337 0.144
0.985 0.587 0.532
```

***

Computed, not measured: an optimized crystal structure of Ca5Sc2Co2O12 at the PBE with a Hubbard U level of DFT.

Values from the calculation:
* symmetry: P1
* ΔE to the lowest computed polymorph: 0.041 eV per atom

```
Ca5Sc2Co2O12
1.0
6.463 0.000 0.000
0.507 8.801 0.000
0.195 0.072 9.397
Ca Sc Co O
10 4 4 24
Direct
0.000 0.000 0.000
0.002 0.493 0.500
0.130 0.325 0.183
0.141 0.828 0.676
0.494 0.009 0.132
0.501 0.501 0.629
0.615 0.328 0.947
0.626 0.823 0.448
0.773 0.639 0.128
0.776 0.132 0.622
0.123 0.320 0.816
0.129 0.821 0.314
0.627 0.819 0.817
0.628 0.319 0.318
0.379 0.574 0.310
0.383 0.074 0.810
0.882 0.069 0.310
0.888 0.576 0.814
0.082 0.593 0.259
0.092 0.087 0.765
0.157 0.042 0.231
0.160 0.543 0.737
0.286 0.212 0.989
0.291 0.697 0.480
0.335 0.393 0.408
0.342 0.901 0.918
0.426 0.259 0.725
0.437 0.762 0.229
0.489 0.933 0.651
0.493 0.452 0.157
0.601 0.586 0.862
0.605 0.087 0.372
0.666 0.055 0.879
0.674 0.544 0.396
0.791 0.192 0.149
0.809 0.693 0.651
0.836 0.882 0.213
0.841 0.367 0.704
0.906 0.771 0.915
0.916 0.258 0.401
0.943 0.444 0.973
0.955 0.940 0.472
```

***

Computed, not measured: an optimized crystal structure of CaScCo2O at the PBE with a Hubbard U level of DFT.

Values from the calculation:
* symmetry: P4/mmm

```
CaScCo2O
1.0
4.670 0.000 0.000
0.000 4.670 0.000
0.000 0.000 3.994
Ca Sc Co O
1 1 2 1
Direct
0.000 0.000 0.000
0.500 0.500 0.000
0.000 0.500 0.500
0.500 0.000 0.500
0.500 0.500 0.500
```

***

Computed, not measured: an optimized crystal structure of CaCoSe2O6 at the PBE with a Hubbard U level of DFT.

Values from the calculation:
* symmetry: R-3

```
CaCoSe2O6
1.0
2.675 1.544 5.497
-2.675 1.544 5.497
0.000 -3.089 5.497
Ca Co Se O
1 1 2 6
Direct
0.000 0.000 0.000
0.500 0.500 0.500
0.279 0.279 0.279
0.721 0.721 0.721
0.070 0.747 0.462
0.253 0.538 0.930
0.462 0.070 0.747
0.538 0.930 0.253
0.747 0.462 0.070
0.930 0.253 0.538
```

***

Computed, not measured: an optimized crystal structure of Ca2CoSeO at the PBE with a Hubbard U level of DFT.

Values from the calculation:
* symmetry: P4/mmm

```
Ca2CoSeO
1.0
4.986 0.000 0.000
0.000 4.986 0.000
0.000 0.000 3.682
Ca Co Se O
2 1 1 1
Direct
0.000 0.500 0.000
0.500 0.000 0.000
0.000 0.000 0.500
0.500 0.500 0.500
0.000 0.000 0.000
```

***

Computed, not measured: an optimized crystal structure of Ca3CoSe4O12 at the PBE with a Hubbard U level of DFT.

Values from the calculation:
* symmetry: I4_1/a

```
Ca3CoSe4O12
1.0
-3.855 3.855 11.406
3.855 -3.855 11.406
3.855 3.855 -11.406
Ca Co Se O
6 2 8 24
Direct
0.199 0.949 0.250
0.375 0.125 0.250
0.449 0.699 0.750
0.551 0.301 0.250
0.625 0.875 0.750
0.801 0.051 0.750
0.125 0.375 0.750
0.875 0.625 0.250
0.111 0.012 0.740
0.130 0.389 0.402
0.228 0.630 0.240
0.488 0.728 0.098
0.512 0.272 0.902
0.772 0.370 0.760
0.870 0.611 0.598
0.889 0.988 0.260
0.072 0.045 0.867
0.075 0.613 0.840
0.113 0.774 0.539
0.136 0.158 0.234
0.265 0.425 0.039
0.274 0.235 0.660
0.296 0.428 0.473
0.322 0.796 0.367
0.342 0.075 0.977
0.402 0.636 0.477
0.425 0.902 0.266
0.455 0.822 0.027
0.545 0.178 0.973
0.575 0.098 0.734
0.598 0.364 0.523
0.658 0.925 0.023
0.678 0.204 0.633
0.704 0.572 0.527
0.726 0.765 0.340
0.735 0.575 0.961
0.864 0.842 0.766
0.887 0.226 0.461
0.925 0.387 0.160
0.928 0.955 0.133
```

***

Computed values of calculated total energy (unit: eV/atom) for the preceding records, in sequence: -6.34 -6.39 -6.84 -6.49 -6.33 -5.77 -6.03 -6.30 -6.29 -6.99 -6.86 -6.82 -4.99 -5.63 -4.84 -5.90.
Computed values of calculated volume (unit: A^3/atom) for the preceding records, in sequence: 10.6 12.3 10.7 12.0 12.9 17.1 11.6 11.9 12.0 12.2 12.5 12.7 17.4 13.6 18.3 17.0.